La2CI2: relaxed, PBE.

```
La2CI2
1.0
8.123 0.000 -0.174
0.000 7.963 0.000
-1.239 0.000 10.245
La C I
8 4 8
Cartesian
5.965 7.773 1.822
1.904 4.171 1.909
4.981 3.792 8.161
0.919 0.190 8.248
4.661 2.727 4.426
0.599 1.255 4.513
6.285 6.708 5.558
2.224 5.237 5.645
2.316 3.383 3.936
4.569 4.580 6.135
6.377 0.598 3.849
0.507 7.365 6.221
4.159 2.189 0.528
0.097 1.793 0.615
6.787 6.170 9.455
2.725 5.774 9.542
6.883 4.774 2.913
2.822 7.170 3.000
4.062 0.793 7.070
0.001 3.189 7.157
```

## Properties
Its mass density is 5.5 g/cm³. As for the symmetry: P2_1/c. For the formation energy from raw total energies, the calculation gives -0.8957 eV per atom. For the total magnetic moment, the calculation gives 0.0 μB/cell. Its total DFT energy (no corrections) is -5.332 eV per atom.

=====

La2CI: relaxed, PBE.

```
La2CI
1.0
-0.151 -3.021 2.523
1.141 -3.589 -1.154
7.851 -0.581 2.848
La C I
2 1 1
Cartesian
6.528 -0.866 2.427
1.637 -1.921 0.872
0.663 -4.406 0.914
4.434 -3.592 2.113
```

## Properties
Its mass density is 6.4 g/cm³. As for the symmetry: R3m. For the formation energy from raw total energies, the calculation gives -0.7141 eV per atom. For the total magnetic moment, the calculation gives 0.0 μB/cell. Its total DFT energy (no corrections) is -5.871 eV per atom.

=====

La4C2I5: relaxed, PBE.

```
La4C2I5
1.0
4.148 0.000 -0.001
0.000 8.950 0.006
-2.072 -4.469 10.292
I C La
5 2 4
Cartesian
0.000 2.013 3.255
0.000 6.935 3.257
2.075 -2.454 7.041
2.075 2.468 7.043
2.074 0.000 0.000
2.074 4.475 0.706
0.002 0.006 9.592
0.000 2.752 0.002
0.001 0.007 7.289
2.075 1.729 10.296
2.074 4.474 3.009
```

## Properties
Its mass density is 5.3 g/cm³. As for the symmetry: C2/m. For the formation energy from raw total energies, the calculation gives -1.1632 eV per atom. For the total magnetic moment, the calculation gives 0.0 μB/cell. Its total DFT energy (no corrections) is -5.337 eV per atom.

=====

LaC2I2: relaxed, PBE.

```
LaC2I2
1.0
4.952 0.000 0.000
0.000 4.952 0.000
2.476 2.476 4.749
I C La
2 2 1
Cartesian
2.476 2.476 1.749
4.952 4.952 2.999
4.952 2.476 2.374
2.476 4.952 2.374
0.000 0.000 0.000
```

## Properties
Its mass density is 5.9 g/cm³. The energy relative to the lowest polymorph listed for this composition is 0.1238 eV/atom. As for the symmetry: I4/mmm. For the formation energy from raw total energies, the calculation gives 1.5812 eV per atom. For the total magnetic moment, the calculation gives 0.0 μB/cell. Its total DFT energy (no corrections) is -3.714 eV per atom.

=====

LaCIN2: relaxed, PBE.

```
LaCIN2
1.0
-1.975 -3.667 -0.014
3.372 -1.822 1.628
-2.515 1.330 6.697
I C N La
1 1 2 1
Cartesian
-1.258 0.665 3.349
-0.559 -2.080 4.156
1.686 -0.911 0.814
-0.987 -1.833 -0.007
0.000 0.000 0.000
```

## Properties
Its mass density is 4.0 g/cm³. As for the symmetry: P4/mmm. For the formation energy from raw total energies, the calculation gives 1.8829 eV per atom. For the total magnetic moment, the calculation gives 1.0 μB/cell. Its total DFT energy (no corrections) is -4.588 eV per atom.

=====

La6C2I3N: relaxed, PBE.

```
La6C2I3N
1.0
-0.191 6.476 2.034
0.176 -4.997 4.594
7.982 -0.246 -2.248
La C I N
6 2 3 1
Cartesian
6.530 2.841 2.868
1.373 1.032 4.430
1.437 -1.609 1.511
6.652 -0.950 3.714
6.594 0.200 -0.050
1.316 2.183 0.665
0.054 -1.170 3.740
-0.068 2.648 2.888
4.106 -3.193 3.040
3.862 4.425 1.340
3.984 0.616 2.190
0.000 0.000 0.000
```

## Properties
Its mass density is 6.5 g/cm³. As for the symmetry: C2/m. For the formation energy from raw total energies, the calculation gives -0.9167 eV per atom. For the total magnetic moment, the calculation gives 0.0 μB/cell. Its total DFT energy (no corrections) is -5.999 eV per atom.